1.
An optimized crystal structure of HfBeGe. Source: Alexandria, functional PBE.

Computed properties:
As for the space-group type: Cmcm. For the energy relative to the elements, the calculation gives -359 meV/atom.

Lattice parameters (Å, degrees): 3.702 9.409 5.252 90.00 90.00 90.00
Sites, in units of the cell vectors:
Be (0.000, 0.500, 0.000)
Be (0.000, 0.500, 0.500)
Be (0.500, 0.000, 0.000)
Be (0.500, 0.000, 0.500)
Ge (0.000, 0.909, 0.250)
Ge (0.000, 0.091, 0.750)
Ge (0.500, 0.409, 0.250)
Ge (0.500, 0.591, 0.750)
Hf (0.000, 0.201, 0.250)
Hf (0.000, 0.799, 0.750)
Hf (0.500, 0.701, 0.250)
Hf (0.500, 0.299, 0.750)

=====

2.
An optimized crystal structure of ZrMnSi. Source: Alexandria, functional PBE.

Computed properties:
As for the space-group type: I4mm. The uncorrected formation energy is -0.33 eV per atom.

Lattice parameters (Å, degrees): 5.283 5.283 3.061 73.16 73.16 33.68
Sites, in units of the cell vectors:
Mn (0.974, 0.974, 0.026)
Si (0.366, 0.366, 0.634)
Zr (0.661, 0.661, 0.339)

=====

3.
An optimized crystal structure of ScCu2Ru. Source: Alexandria, functional PBE.

Computed properties:
As for the space-group type: Imm2. For the energy relative to the elements, the calculation gives -118 meV/atom.

Lattice parameters (Å, degrees): 4.758 4.758 4.758 131.92 132.08 70.23
Last column: magnetic moment on the atom in μB.
Sites, in units of the cell vectors:
Cu (0.000, 0.000, 0.000)  0.01
Cu (0.750, 0.250, 0.500)  0.01
Ru (0.500, 0.500, 0.000)  0.21
Sc (0.250, 0.750, 0.500)  0.02

=====

4.
An optimized crystal structure of CaCr2In. Source: Alexandria, functional PBE.

Computed properties:
As for the space-group type: Pmmm. For the energy relative to the elements, the calculation gives 591 meV/atom.

Lattice parameters (Å, degrees): 3.230 4.144 6.394 90.00 90.00 90.00
Sites, in units of the cell vectors:
Cr (0.000, 0.000, 0.103)
Cr (0.000, 0.000, 0.397)
Ca (0.500, 0.500, 0.750)
In (0.500, 0.500, 0.250)

=====

5.
An optimized crystal structure of BaPuAu2O8. Source: Alexandria, functional PBE.

Computed properties:
As for the space-group type: I-4m2. The uncorrected formation energy is -0.99 eV per atom.

Lattice parameters (Å, degrees): 6.427 6.427 6.427 109.06 109.06 110.31
Sites, in units of the cell vectors:
Ba (0.000, 0.000, 0.000)
Pu (0.250, 0.750, 0.500)
Au (0.750, 0.250, 0.500)
Au (0.500, 0.500, 0.000)
O (0.382, 0.039, 0.344)
O (0.300, 0.542, 0.242)
O (0.300, 0.058, 0.758)
O (0.695, 0.039, 0.656)
O (0.942, 0.700, 0.242)
O (0.961, 0.305, 0.344)
O (0.961, 0.618, 0.656)
O (0.458, 0.700, 0.758)

=====

6.
An optimized crystal structure of CeRhPbO6. Source: Alexandria, functional PBE.

Computed properties:
As for the space-group type: P-31c. The uncorrected formation energy is -1.53 eV per atom.

Lattice parameters (Å, degrees): 5.519 5.519 9.435 90.00 90.00 120.00
Last column: magnetic moment on the atom in μB.
Sites, in units of the cell vectors:
Ce (0.333, 0.667, 0.250)  0.02
Ce (0.667, 0.333, 0.750)  0.02
Rh (0.667, 0.333, 0.250)  0.47
Rh (0.333, 0.667, 0.750)  0.47
Pb (0.000, 0.000, 0.000)  -0.01
Pb (0.000, 0.000, 0.500)  -0.01
O (0.667, 0.636, 0.130)  0.06
O (0.968, 0.333, 0.130)  0.06
O (0.333, 0.968, 0.630)  0.06
O (0.032, 0.667, 0.870)  0.06
O (0.364, 0.333, 0.370)  0.06
O (0.968, 0.636, 0.370)  0.06
O (0.636, 0.968, 0.870)  0.06
O (0.667, 0.032, 0.370)  0.06
O (0.032, 0.364, 0.630)  0.06
O (0.364, 0.032, 0.130)  0.06
O (0.636, 0.667, 0.630)  0.06
O (0.333, 0.364, 0.870)  0.06

=====

7.
An optimized crystal structure of ScFe2Rh. Source: Alexandria, functional PBE.

Computed properties:
As for the space-group type: Fm-3m. For the energy relative to the elements, the calculation gives -142 meV/atom.

Lattice parameters (Å, degrees): 4.326 4.326 4.326 60.00 60.00 60.00
Last column: magnetic moment on the atom in μB.
Sites, in units of the cell vectors:
Sc (0.000, 0.000, 0.000)  -0.40
Rh (0.500, 0.500, 0.500)  0.73
Fe (0.250, 0.250, 0.250)  2.49
Fe (0.750, 0.750, 0.750)  2.49

=====

8.
An optimized crystal structure of CaMg6Cu6. Source: Alexandria, functional PBE.

Computed properties:
As for the space-group type: P6/mmm. For the energy relative to the elements, the calculation gives 95 meV/atom.

Lattice parameters (Å, degrees): 5.635 5.635 8.711 90.00 90.00 120.00
Sites, in units of the cell vectors:
Ca (0.000, 0.000, 0.000)
Mg (0.000, 0.500, 0.253)
Mg (0.500, 0.500, 0.253)
Mg (0.500, 0.000, 0.253)
Mg (0.500, 0.500, 0.747)
Mg (0.000, 0.500, 0.747)
Mg (0.500, 0.000, 0.747)
Cu (0.000, 0.000, 0.357)
Cu (0.000, 0.000, 0.643)
Cu (0.667, 0.333, 0.000)
Cu (0.333, 0.667, 0.000)
Cu (0.667, 0.333, 0.500)
Cu (0.333, 0.667, 0.500)

=====

In order of appearance, V = 183.0 45.2 58.3 85.6 204.3 248.9 57.3 239.5 Å³/cell.